{
  "formula": "SrSc3Sn",
  "functional": "GGA-PBE",
  "state": "relaxed",
  "lattice": [[5.192, 0.000, 0.000], [0.000, 5.192, 0.000], [0.000, 0.000, 5.192]],
  "species": ["Sr", "Sc", "Sc", "Sc", "Sn"],
  "frac_coords": [[0.000, 0.000, 0.000], [0.000, 0.000, 0.500], [0.000, 0.500, 0.000], [0.500, 0.000, 0.000], [0.500, 0.500, 0.500]],
  "relative_energy_mev_per_atom": 972,
  "n_ef_per_ev_fu": 6.01,
  "e_form_ev_per_atom": 1.1664,
  "dft_energy_ev_per_atom": -3.77
}



{
  "formula": "Sr3ScSn6",
  "functional": "GGA-PBE",
  "state": "relaxed",
  "lattice": [[6.412, 3.702, 4.280], [-6.412, 3.702, 4.280], [0.000, -7.403, 4.280]],
  "species": ["Sr", "Sr", "Sr", "Sr", "Sr", "Sr", "Sc", "Sc", "Sn", "Sn", "Sn", "Sn", "Sn", "Sn", "Sn", "Sn", "Sn", "Sn", "Sn", "Sn"],
  "frac_coords": [[0.182, 0.750, 0.318], [0.250, 0.682, 0.818], [0.318, 0.182, 0.750], [0.682, 0.818, 0.250], [0.750, 0.318, 0.182], [0.818, 0.250, 0.682], [0.000, 0.000, 0.000], [0.500, 0.500, 0.500], [0.012, 0.089, 0.360], [0.089, 0.360, 0.012], [0.140, 0.411, 0.488], [0.360, 0.012, 0.089], [0.411, 0.488, 0.140], [0.488, 0.140, 0.411], [0.512, 0.860, 0.589], [0.589, 0.512, 0.860], [0.640, 0.988, 0.911], [0.860, 0.589, 0.512], [0.911, 0.640, 0.988], [0.988, 0.911, 0.640]],
  "n_ef_per_ev_fu": 4.12,
  "e_form_ev_per_atom": -0.5237,
  "dft_energy_ev_per_atom": -4.06
}



{
  "formula": "SrSc2Sn2",
  "functional": "GGA-PBE",
  "state": "relaxed",
  "lattice": [[8.842, 0.000, 0.000], [0.000, 8.842, 0.000], [0.000, 0.000, 3.337]],
  "species": ["Sr", "Sr", "Sc", "Sc", "Sc", "Sc", "Sn", "Sn", "Sn", "Sn"],
  "frac_coords": [[0.000, 0.000, 0.000], [0.500, 0.500, 0.000], [0.123, 0.377, 0.000], [0.377, 0.877, 0.000], [0.623, 0.123, 0.000], [0.877, 0.623, 0.000], [0.171, 0.671, 0.500], [0.329, 0.171, 0.500], [0.671, 0.829, 0.500], [0.829, 0.329, 0.500]],
  "relative_energy_mev_per_atom": 43,
  "n_ef_per_ev_fu": 2.56,
  "e_form_ev_per_atom": -0.4997,
  "dft_energy_ev_per_atom": -4.97
}